Ga2IBr | GGA-PBEsol | relaxed

The structure in extended XYZ format:
```
4
Lattice="5.394 0.000 0.000 2.697 4.671 0.000 2.697 1.557 4.404" Properties=species:S:1:pos:R:3 pbc="T T T"
Br 0.000 0.000 0.000
I 5.394 3.114 2.202
Ga 2.697 1.557 1.101
Ga 8.091 4.671 3.303
```

Properties
symmetry = Fm-3m (225)
VASP energy = -2.8763 eV/atom
ΔE_f (raw) = -297 meV/atom
total magnetization = 0.00 μB per cell